# 1
A relaxed structure of SrTbIn4O8, computed with PBE.

Calculated values
total magnetic moment: 0.0 μB/f.u.
formation energy from raw total energies: -2.01 eV per atom
space group: R3m

Cell lengths 6.812, 6.812, 6.812 Å; angles 59.30, 59.30, 59.30 degrees
Atoms (fractional coordinates):
Sr 0.000 0.000 0.000
Tb 0.626 0.626 0.626
In 0.121 0.626 0.626
In 0.249 0.249 0.249
In 0.626 0.121 0.626
In 0.626 0.626 0.121
O 0.380 0.380 0.846
O 0.380 0.846 0.380
O 0.389 0.389 0.389
O 0.426 0.861 0.861
O 0.846 0.380 0.380
O 0.857 0.857 0.857
O 0.861 0.426 0.861
O 0.861 0.861 0.426



# 2
A relaxed structure of Sr3InTc2O9, computed with PBE.

Calculated values
total magnetic moment: 0.0 μB/f.u.
formation energy from raw total energies: -2.05 eV per atom
space group: P-3m1

Cell lengths 5.734, 5.734, 6.981 Å; angles 90.00, 90.00, 120.00 degrees
Atoms (fractional coordinates):
Sr 0.000 0.000 0.000
Sr 0.333 0.667 0.647
Sr 0.667 0.333 0.353
In 0.000 0.000 0.500
Tc 0.333 0.667 0.150
Tc 0.667 0.333 0.850
O 0.000 0.500 0.000
O 0.174 0.347 0.322
O 0.174 0.826 0.322
O 0.347 0.174 0.678
O 0.500 0.000 0.000
O 0.500 0.500 0.000
O 0.653 0.826 0.322
O 0.826 0.174 0.678
O 0.826 0.653 0.678



# 3
A relaxed structure of SrTiIn2O6, computed with PBE.

Calculated values
total magnetic moment: 0.0 μB/f.u.
formation energy from raw total energies: -2.23 eV per atom
space group: R3

Cell lengths 5.924, 5.924, 5.924 Å; angles 56.41, 56.41, 56.41 degrees
Atoms (fractional coordinates):
Sr 0.000 0.000 0.000
Ti 0.474 0.474 0.474
In 0.267 0.267 0.267
In 0.776 0.776 0.776
O 0.091 0.618 0.432
O 0.210 0.546 0.845
O 0.432 0.091 0.618
O 0.546 0.845 0.210
O 0.618 0.432 0.091
O 0.845 0.210 0.546



Which of these has the lowest formation energy from raw total energies? SrTiIn2O6



What is the total magnetic moment in the first record? 0.0 μB/f.u.



Which formula does entry 2 have? Sr3InTc2O9



What is the formula in the second record? Sr3InTc2O9